NdGa2Ni | PBE | optimized geometry

abc: 4.364 6.675 10.437
angles: 90.00 90.00 90.00
Sites, in units of the cell vectors:
1 Nd 0.750 0.701 0.364
2 Nd 0.750 0.201 0.136
3 Nd 0.250 0.299 0.636
4 Nd 0.250 0.799 0.864
5 Ga 0.750 0.711 0.066
6 Ga 0.250 0.289 0.934
7 Ga 0.750 0.211 0.434
8 Ga 0.250 0.789 0.566
9 Ga 0.750 0.123 0.823
10 Ga 0.250 0.377 0.323
11 Ga 0.750 0.623 0.677
12 Ga 0.250 0.877 0.177
13 Ni 0.250 0.024 0.391
14 Ni 0.750 0.976 0.609
15 Ni 0.250 0.524 0.109
16 Ni 0.750 0.476 0.891

Summary:
Uncorrected energy = -4.746 eV/atom
Total moment = 0.00 Bohr magnetons per cell
Crystal system = orthorhombic